# 1
VASP calculation (PBE-GGA) on a relaxed structure of DyPt.

Unit cell a=4.5475 b=5.5633 c=7.0067 alpha=90.00 beta=90.00 gamma=90.00
Sites, in units of the cell vectors:
Pt 0.7500 0.6554 0.4564
Pt 0.2500 0.1554 0.0436
Pt 0.2500 0.3446 0.5436
Pt 0.7500 0.8446 0.9564
Dy 0.7500 0.3591 0.8176
Dy 0.7500 0.1409 0.3176
Dy 0.2500 0.8591 0.6824
Dy 0.2500 0.6409 0.1824

Properties
E_tot (eV/atom): -6.6209

# 2
VASP calculation (PBE-GGA) on a relaxed structure of CdInHg3.

Unit cell a=5.7198 b=5.7198 c=5.7198 alpha=90.00 beta=90.00 gamma=90.00
Sites, in units of the cell vectors:
In 0.0000 0.0000 0.0000
Cd 0.5000 0.5000 0.5000
Hg 0.0000 0.0000 0.5000
Hg 0.5000 0.0000 0.0000
Hg 0.0000 0.5000 0.0000

Properties
E_tot (eV/atom): -0.7389
Energy above the most stable polymorph in this dataset (eV/f.u.): 0.67

# 3
VASP calculation (PBE-GGA) on a relaxed structure of Li12Zn2Cd5.

Unit cell a=7.5226 b=7.5344 c=6.9708 alpha=91.56 beta=90.00 gamma=119.95
Sites, in units of the cell vectors:
Li 0.4452 0.8903 0.6664
Li 0.6661 0.7062 0.7619
Li 0.0400 0.7062 0.7619
Li 0.1675 0.7376 0.3081
Li 0.8325 0.2624 0.6919
Li 0.5548 0.1097 0.3336
Li 0.0788 0.1575 0.8868
Li 0.4299 0.2624 0.6919
Li 0.9212 0.8425 0.1132
Li 0.9600 0.2938 0.2381
Li 0.5701 0.7376 0.3081
Li 0.3339 0.2938 0.2381
Cd 0.2923 0.5845 0.9820
Cd 0.7077 0.4155 0.0180
Cd 0.2377 0.4753 0.5554
Cd 0.0000 0.0000 0.5000
Cd 0.7623 0.5247 0.4446
Zn 0.6724 0.0000 0.0000
Zn 0.3276 0.0000 0.0000

Properties
E_tot (eV/atom): -1.7350

# 4
VASP calculation (PBE-GGA) on a relaxed structure of SbMo2Br.

Unit cell a=6.0823 b=6.0823 c=7.0468 alpha=64.43 beta=64.43 gamma=90.00
Site moments in Bohr magnetons follow the coordinates.
Sites, in units of the cell vectors:
Sb 0.7500 0.2500 0.5000  -0.03
Sb 0.0000 0.0000 0.0000  -0.03
Br 0.2500 0.7500 0.5000  -0.01
Br 0.5000 0.5000 0.0000  -0.01
Mo 0.8750 0.8470 0.7500  0.96
Mo 0.5970 0.1250 0.2500  0.96
Mo 0.1530 0.6250 0.2500  0.99
Mo 0.3750 0.4030 0.7500  1.01

Properties
Uncorrected formation energy (eV per atom): 1.203
E_tot (eV/atom): -5.6611
Energy above the most stable polymorph in this dataset (eV/f.u.): 4.02